Entry 1:
DFT (PBE-GGA) results for a relaxed Pr4Nd15Ho crystal.

POSCAR file:
```
Pr4Nd15Ho
1.0
5.211 0.000 0.000
0.000 5.211 0.000
0.000 0.000 25.987
Nd Pr Ho
15 4 1
direct
0.500 0.500 0.600
0.000 0.500 0.098
0.000 0.500 0.299
0.500 0.000 0.299
0.500 0.000 0.701
0.500 0.500 0.802
0.500 0.500 0.400
0.500 0.000 0.098
0.500 0.000 0.500
0.500 0.500 0.198
0.000 0.500 0.500
0.500 0.500 0.000
0.000 0.500 0.701
0.500 0.000 0.902
0.000 0.500 0.902
0.000 0.000 0.600
0.000 0.000 0.400
0.000 0.000 0.801
0.000 0.000 0.199
0.000 0.000 0.000
```

Properties
- calculated density (g/cm³) = 6.8


Entry 2:
DFT (PBE-GGA) results for a relaxed Pr3Nd2Ho7 crystal.

POSCAR file:
```
Pr3Nd2Ho7
1.0
3.554 0.000 0.000
0.000 6.350 0.740
0.000 2.405 17.956
Ho Nd Pr
7 2 3
direct
0.500 0.940 0.836
0.500 0.060 0.164
0.000 0.436 0.836
0.500 0.754 0.501
0.000 0.000 0.000
0.000 0.564 0.164
0.500 0.246 0.499
0.500 0.620 0.326
0.500 0.380 0.674
0.500 0.500 0.000
0.000 0.886 0.660
0.000 0.114 0.340
```

Properties
- calculated density (g/cm³) = 7.8
- energy relative to the lowest polymorph listed for this composition (eV per atom) = 0.0023


Entry 3:
DFT (PBE-GGA) results for a relaxed Pr12Nd2Ho5 crystal.

POSCAR file:
```
Pr12Nd2Ho5
1.0
11.832 0.000 0.000
-5.916 9.026 1.205
0.000 -2.161 5.907
Pr Ho Nd
12 5 2
direct
0.062 0.604 0.800
0.855 0.208 0.615
0.353 0.208 0.615
0.938 0.396 0.200
0.647 0.792 0.385
0.145 0.792 0.385
0.557 0.115 0.274
0.122 0.244 0.999
0.878 0.756 0.001
0.542 0.604 0.800
0.443 0.885 0.726
0.458 0.396 0.200
0.321 0.643 0.142
0.786 0.571 0.450
0.679 0.357 0.858
0.000 0.000 0.500
0.214 0.429 0.550
0.772 0.000 0.000
0.228 0.000 0.000
```

Properties
- calculated density (g/cm³) = 7.0
- energy relative to the lowest polymorph listed for this composition (eV per atom) = 0.0000


Entry 4:
DFT (PBE-GGA) results for a relaxed Pr2Nd6Ho crystal.

POSCAR file:
```
Pr2Nd6Ho
1.0
-1.327 -5.562 -2.601
-1.291 -4.960 8.945
-9.993 0.114 2.533
Nd Pr Ho
12 4 2
direct
0.647 0.075 0.346
0.986 0.409 0.689
0.486 0.689 0.409
0.514 0.311 0.591
0.014 0.591 0.311
0.853 0.654 0.925
0.147 0.346 0.075
0.680 0.253 0.974
0.353 0.925 0.654
0.820 0.026 0.747
0.180 0.974 0.253
0.320 0.747 0.026
0.923 0.771 0.566
0.077 0.229 0.434
0.423 0.566 0.771
0.577 0.434 0.229
0.250 0.100 0.900
0.750 0.900 0.100
```

Properties
- calculated density (g/cm³) = 7.0
- energy relative to the lowest polymorph listed for this composition (eV per atom) = 0.0272


Entry 5:
DFT (PBE-GGA) results for a relaxed Pr3Nd2Ho8 crystal.

POSCAR file:
```
Pr3Nd2Ho8
1.0
-4.437 -3.840 -2.101
3.762 -4.140 2.710
-4.506 -0.428 10.405
Nd Ho Pr
2 8 3
direct
0.769 0.616 0.538
0.231 0.384 0.462
0.386 0.308 0.767
0.307 0.847 0.615
0.925 0.537 0.844
0.075 0.463 0.156
0.153 0.924 0.309
0.614 0.692 0.233
0.847 0.076 0.691
0.693 0.153 0.385
0.462 0.769 0.921
0.000 0.000 0.000
0.538 0.231 0.079
```

Properties
- calculated density (g/cm³) = 7.9
- energy relative to the lowest polymorph listed for this composition (eV per atom) = 0.0000


Entry 6:
DFT (PBE-GGA) results for a relaxed PrNd2Ho9 crystal.

POSCAR file:
```
PrNd2Ho9
1.0
-1.707 1.898 2.425
-7.549 -8.302 1.186
9.280 0.146 6.417
Ho Pr Nd
9 1 2
direct
0.500 0.176 0.352
0.500 0.352 0.176
0.000 0.500 0.500
0.500 0.648 0.824
0.500 0.824 0.176
0.500 0.176 0.824
0.000 0.000 0.500
0.500 0.824 0.648
0.000 0.500 0.000
0.000 0.000 0.000
0.000 0.333 0.667
0.000 0.667 0.333
```

Properties
- calculated density (g/cm³) = 8.2
- energy relative to the lowest polymorph listed for this composition (eV per atom) = 0.0357


Entry 7:
DFT (PBE-GGA) results for a relaxed Pr3Nd5Ho crystal.

POSCAR file:
```
Pr3Nd5Ho
1.0
10.012 2.227 0.957
4.883 9.020 0.957
6.524 4.926 9.406
Ho Nd Pr
2 10 6
direct
0.114 0.114 0.646
0.886 0.886 0.354
0.317 0.683 0.000
0.441 0.441 0.699
0.155 0.155 0.041
0.480 0.093 0.652
0.845 0.845 0.959
0.520 0.907 0.348
0.559 0.559 0.301
0.907 0.520 0.348
0.093 0.480 0.652
0.683 0.317 0.000
0.000 0.000 0.000
0.292 0.292 0.111
0.362 0.362 0.331
0.638 0.638 0.669
0.708 0.708 0.889
0.000 0.000 0.500
```

Properties
- calculated density (g/cm³) = 6.4


Entry 8:
DFT (PBE-GGA) results for a relaxed Pr4Nd7Ho crystal.

POSCAR file:
```
Pr4Nd7Ho
1.0
6.123 0.000 0.000
3.061 9.204 2.082
3.061 1.905 8.072
Pr Nd Ho
4 7 1
direct
0.575 0.298 0.552
0.425 0.702 0.448
0.674 0.612 0.040
0.326 0.388 0.960
0.207 0.778 0.807
0.080 0.566 0.273
0.792 0.874 0.542
0.793 0.222 0.193
0.920 0.434 0.727
0.500 0.000 0.000
0.208 0.126 0.458
0.000 0.000 0.000
```

Properties
- calculated density (g/cm³) = 6.7
- energy relative to the lowest polymorph listed for this composition (eV per atom) = 0.1911


Entry 9:
DFT (PBE-GGA) results for a relaxed PrNd5Ho6 crystal.

POSCAR file:
```
PrNd5Ho6
1.0
-2.865 -1.436 -4.005
-5.198 -6.274 5.968
-0.956 9.467 0.574
Pr Nd Ho
1 5 6
direct
0.000 0.000 0.000
0.333 0.833 0.666
0.333 0.333 0.666
0.667 0.167 0.334
0.667 0.667 0.334
0.000 0.500 0.000
0.500 0.749 0.000
0.833 0.084 0.666
0.167 0.417 0.334
0.833 0.583 0.666
0.167 0.916 0.334
0.500 0.251 0.000
```

Properties
- calculated density (g/cm³) = 7.7
- energy relative to the lowest polymorph listed for this composition (eV per atom) = 0.0049


Entry 10:
DFT (PBE-GGA) results for a relaxed Pr4Nd2Ho crystal.

POSCAR file:
```
Pr4Nd2Ho
1.0
-6.653 -10.724 1.849
10.186 7.265 2.479
-4.788 4.397 2.437
Nd Pr Ho
4 8 2
direct
0.308 0.630 0.955
0.103 0.925 0.546
0.630 0.308 0.455
0.925 0.103 0.046
0.594 0.557 0.626
0.186 0.796 0.902
0.034 0.145 0.599
0.145 0.034 0.099
0.557 0.594 0.126
0.717 0.180 0.874
0.796 0.186 0.402
0.180 0.717 0.374
0.669 0.419 0.000
0.419 0.669 0.500
```

Properties
- calculated density (g/cm³) = 6.8
- energy relative to the lowest polymorph listed for this composition (eV per atom) = 0.0494


Entry 11:
DFT (PBE-GGA) results for a relaxed Pr2NdHo9 crystal.

POSCAR file:
```
Pr2NdHo9
1.0
-4.793 0.931 -1.272
1.150 -0.723 -4.860
-3.237 -14.720 1.424
Ho Pr Nd
9 2 1
direct
0.500 0.000 0.834
0.500 0.500 0.000
0.500 0.000 0.500
0.000 0.500 0.500
0.000 0.500 0.834
0.500 0.500 0.333
0.000 0.500 0.166
0.500 0.500 0.667
0.500 0.000 0.166
0.000 0.000 0.333
0.000 0.000 0.667
0.000 0.000 0.000
```

Properties
- calculated density (g/cm³) = 8.2
- energy relative to the lowest polymorph listed for this composition (eV per atom) = 0.0000


Entry 12:
DFT (PBE-GGA) results for a relaxed PrNd5Ho2 crystal.

POSCAR file:
```
PrNd5Ho2
1.0
-3.402 5.786 -0.130
-5.320 -8.072 3.025
4.140 -4.412 9.270
Pr Nd Ho
2 10 4
direct
0.805 0.604 0.725
0.195 0.396 0.275
0.611 0.242 0.613
0.367 0.750 0.693
0.676 0.290 0.961
0.633 0.250 0.307
0.001 0.998 0.322
0.289 0.012 0.071
0.711 0.988 0.929
0.324 0.710 0.039
0.999 0.002 0.678
0.389 0.758 0.387
0.802 0.603 0.399
0.201 0.374 0.931
0.799 0.626 0.069
0.198 0.397 0.601
```

Properties
- calculated density (g/cm³) = 7.1
- energy relative to the lowest polymorph listed for this composition (eV per atom) = 0.1020


Entry 13:
DFT (PBE-GGA) results for a relaxed Pr5NdHo2 crystal.

POSCAR file:
```
Pr5NdHo2
1.0
-1.627 4.370 2.247
-3.920 -3.916 4.778
11.468 -0.400 9.080
Pr Ho Nd
10 4 2
direct
0.000 0.500 0.750
0.000 0.000 0.250
0.500 0.250 0.875
0.000 0.000 0.750
0.000 0.500 0.250
0.500 0.750 0.625
0.000 0.500 0.500
0.500 0.750 0.125
0.000 0.000 0.000
0.500 0.250 0.375
0.500 0.249 0.625
0.500 0.749 0.875
0.500 0.751 0.375
0.500 0.251 0.125
0.000 0.000 0.500
0.000 0.500 0.000
```

Properties
- calculated density (g/cm³) = 7.1
- energy relative to the lowest polymorph listed for this composition (eV per atom) = 0.0000


Entry 14:
DFT (PBE-GGA) results for a relaxed Pr6Nd8Ho crystal.

POSCAR file:
```
Pr6Nd8Ho
1.0
9.355 0.000 0.000
4.678 8.102 0.000
4.678 2.701 7.079
Nd Pr Ho
8 6 1
direct
0.248 0.284 0.581
0.716 0.113 0.419
0.113 0.752 0.419
0.422 0.422 0.733
0.578 0.578 0.267
0.284 0.887 0.581
0.887 0.248 0.581
0.752 0.716 0.419
0.239 0.539 0.124
0.539 0.098 0.124
0.461 0.902 0.876
0.098 0.239 0.124
0.902 0.761 0.876
0.761 0.461 0.876
0.000 0.000 0.000
```

Properties
- calculated density (g/cm³) = 6.7
- energy relative to the lowest polymorph listed for this composition (eV per atom) = 0.0000


Entry 15:
DFT (PBE-GGA) results for a relaxed Pr4Nd2Ho crystal.

POSCAR file:
```
Pr4Nd2Ho
1.0
3.682 0.000 0.000
1.841 3.188 0.000
1.841 1.063 20.953
Nd Ho Pr
2 1 4
direct
0.428 0.428 0.717
0.572 0.572 0.283
0.000 0.000 0.000
0.713 0.713 0.861
0.858 0.858 0.427
0.287 0.287 0.139
0.142 0.142 0.573
```

Properties
- calculated density (g/cm³) = 6.9
- energy relative to the lowest polymorph listed for this composition (eV per atom) = 0.0000


Entry 16:
DFT (PBE-GGA) results for a relaxed Pr4NdHo5 crystal.

POSCAR file:
```
Pr4NdHo5
1.0
-2.179 -0.528 -2.869
2.370 -2.408 -1.357
-11.807 -18.605 12.395
Pr Ho Nd
4 5 1
direct
0.000 0.000 0.400
0.000 0.000 0.800
0.000 0.000 0.600
0.000 0.000 0.200
0.500 0.500 0.300
0.500 0.500 0.500
0.500 0.500 0.099
0.500 0.500 0.700
0.500 0.500 0.901
0.000 0.000 0.000
```

Properties
- calculated density (g/cm³) = 7.6
- energy relative to the lowest polymorph listed for this composition (eV per atom) = 0.0000


Entry 17:
DFT (PBE-GGA) results for a relaxed PrNd4Ho3 crystal.

POSCAR file:
```
PrNd4Ho3
1.0
7.249 0.000 0.000
0.000 7.240 0.000
0.000 0.000 10.258
Nd Ho Pr
8 6 2
direct
0.000 0.311 0.500
0.248 0.561 0.250
0.752 0.061 0.250
0.000 0.811 0.000
0.500 0.810 0.500
0.248 0.561 0.750
0.752 0.061 0.750
0.500 0.310 0.000
0.000 0.811 0.500
0.753 0.561 0.250
0.247 0.061 0.750
0.753 0.561 0.750
0.247 0.061 0.250
0.000 0.311 0.000
0.500 0.311 0.500
0.500 0.811 0.000
```

Properties
- calculated density (g/cm³) = 7.5
- energy relative to the lowest polymorph listed for this composition (eV per atom) = 0.0000


Entry 18:
DFT (PBE-GGA) results for a relaxed Pr3NdHo3 crystal.

POSCAR file:
```
Pr3NdHo3
1.0
-4.475 -1.370 -3.480
1.034 -9.382 2.365
-5.847 5.728 5.262
Pr Ho Nd
6 6 2
direct
0.750 0.473 0.096
0.250 0.527 0.904
0.250 0.378 0.473
0.750 0.622 0.527
0.750 0.904 0.378
0.250 0.096 0.622
0.250 0.232 0.046
0.750 0.046 0.814
0.250 0.954 0.186
0.250 0.814 0.768
0.750 0.186 0.232
0.750 0.768 0.954
0.750 0.333 0.667
0.250 0.667 0.333
```

Properties
- calculated density (g/cm³) = 7.4
- energy relative to the lowest polymorph listed for this composition (eV per atom) = 0.0000


Entry 19:
DFT (PBE-GGA) results for a relaxed Pr3Nd3Ho5 crystal.

POSCAR file:
```
Pr3Nd3Ho5
1.0
-5.582 -0.133 0.330
-0.308 -5.976 -7.631
0.616 -3.623 8.974
Ho Nd Pr
5 3 3
direct
0.500 0.268 0.268
0.500 0.333 0.667
0.500 0.667 0.333
0.500 0.000 0.732
0.500 0.732 0.000
0.000 0.571 0.000
0.000 0.429 0.429
0.000 0.000 0.571
0.500 0.633 0.633
0.500 0.367 0.000
0.500 0.000 0.367
```

Properties
- calculated density (g/cm³) = 6.1


Listing DFT formation energy for the structures above in their given order: 0.014 0.088 0.095 0.079 0.021 0.059 0.373 0.207 0.017 0.060 0.024 0.114 0.011 0.106 0.010 0.017 0.016 0.029 0.756 eV/atom.